Density functional theory data (PBE) for a geometry-optimized Li2MnTlCl8 structure.

Summary:
Magnetic moment in μB/f.u.: 4.0
Formation energy (no corrections) in eV/atom: -1.114
Total DFT energy (no corrections) in eV/cell: -43.50

Unit cell a=6.2588 b=6.3702 c=7.6471 alpha=87.55 beta=88.53 gamma=78.31
Closest atoms and distances in Å follow each position.
Space group P-1 (No. 2)
Inequivalent atoms, fractional coordinates:
Li: 0.0617 0.0631 0.2537 (multiplicity 2)  5 Cl 2.46-2.61
Mn: 0.5000 0.5000 0.5000 (multiplicity 1)  4 Cl 2.29-2.32
Tl: 0.5000 0.5000 0.0000 (multiplicity 1)  6 Cl 2.53-2.76
Cl: 0.2162 0.8452 0.9894 (multiplicity 2)  1 Tl 2.53, 2 Li 2.55-2.56
Cl: 0.2283 0.8078 0.5016 (multiplicity 2)  1 Mn 2.32, 1 Li 2.54
Cl: 0.2794 0.3435 0.2565 (multiplicity 2)  1 Li 2.46, 1 Tl 2.65, 1 Mn 2.69
Cl: 0.3175 0.3482 0.7184 (multiplicity 2)  1 Mn 2.29